1.
The following is a GGA-PBE calculation of BaOsPb after structural relaxation, from OQMD via LeMat-Bulk.

Structure (CIF):
```
data_BaOsPb
_chemical_formula_sum 'Ba1 Os1 Pb1'
_symmetry_space_group_name_H-M 'P 1'
_symmetry_Int_Tables_number 1
_cell_length_a 5.2150
_cell_length_b 5.2150
_cell_length_c 5.2150
_cell_angle_alpha 60.00
_cell_angle_beta 60.00
_cell_angle_gamma 60.00
loop_
_symmetry_equiv_pos_as_xyz
'x,y,z'
loop_
_atom_site_label
_atom_site_fract_x
_atom_site_fract_y
_atom_site_fract_z
_atom_site_occupancy
Ba1 0.0000 0.0000 0.0000 1
Os1 0.2500 0.2500 0.2500 1
Pb1 0.7500 0.7500 0.7500 1
```

ρ ... 8.85 Mg/m³
Space group ... F-43m (216)
DFT total energy ... -11.949 eV per cell

2.
The following is a GGA-PBE calculation of Ba2OsPbS6 after structural relaxation, from OQMD via LeMat-Bulk.

Structure (CIF):
```
data_Ba2OsPbS6
_chemical_formula_sum 'Ba2 Os1 Pb1 S6'
_symmetry_space_group_name_H-M 'P 1'
_symmetry_Int_Tables_number 1
_cell_length_a 6.6486
_cell_length_b 6.8489
_cell_length_c 7.2735
_cell_angle_alpha 63.45
_cell_angle_beta 65.21
_cell_angle_gamma 64.46
loop_
_symmetry_equiv_pos_as_xyz
'x,y,z'
loop_
_atom_site_label
_atom_site_fract_x
_atom_site_fract_y
_atom_site_fract_z
_atom_site_occupancy
Ba1 0.2613 0.7371 0.2616 1
Ba2 0.7387 0.2629 0.7384 1
Os1 0.5000 0.0000 0.5000 1
Pb1 0.0000 0.5000 0.0000 1
S1 0.3640 0.2368 0.1878 1
S2 0.8143 0.1530 0.3309 1
S3 0.7334 0.7049 0.3369 1
S4 0.2666 0.2951 0.6631 1
S5 0.1857 0.8470 0.6691 1
S6 0.6360 0.7632 0.8122 1
```

ρ ... 5.59 Mg/m³
Space group ... P-1 (2)
Offset from the most stable computed form ... 0.0 meV/atom

What is the ρ in the second record? 5.59 Mg/m³

Copy entry 1 word for word.
The following is a GGA-PBE calculation of BaOsPb after structural relaxation, from OQMD via LeMat-Bulk.

Structure (CIF):
```
data_BaOsPb
_chemical_formula_sum 'Ba1 Os1 Pb1'
_symmetry_space_group_name_H-M 'P 1'
_symmetry_Int_Tables_number 1
_cell_length_a 5.2150
_cell_length_b 5.2150
_cell_length_c 5.2150
_cell_angle_alpha 60.00
_cell_angle_beta 60.00
_cell_angle_gamma 60.00
loop_
_symmetry_equiv_pos_as_xyz
'x,y,z'
loop_
_atom_site_label
_atom_site_fract_x
_atom_site_fract_y
_atom_site_fract_z
_atom_site_occupancy
Ba1 0.0000 0.0000 0.0000 1
Os1 0.2500 0.2500 0.2500 1
Pb1 0.7500 0.7500 0.7500 1
```

ρ ... 8.85 Mg/m³
Space group ... F-43m (216)
DFT total energy ... -11.949 eV per cell

Repeat the first record exactly.
The following is a GGA-PBE calculation of BaOsPb after structural relaxation, from OQMD via LeMat-Bulk.

Structure (CIF):
```
data_BaOsPb
_chemical_formula_sum 'Ba1 Os1 Pb1'
_symmetry_space_group_name_H-M 'P 1'
_symmetry_Int_Tables_number 1
_cell_length_a 5.2150
_cell_length_b 5.2150
_cell_length_c 5.2150
_cell_angle_alpha 60.00
_cell_angle_beta 60.00
_cell_angle_gamma 60.00
loop_
_symmetry_equiv_pos_as_xyz
'x,y,z'
loop_
_atom_site_label
_atom_site_fract_x
_atom_site_fract_y
_atom_site_fract_z
_atom_site_occupancy
Ba1 0.0000 0.0000 0.0000 1
Os1 0.2500 0.2500 0.2500 1
Pb1 0.7500 0.7500 0.7500 1
```

ρ ... 8.85 Mg/m³
Space group ... F-43m (216)
DFT total energy ... -11.949 eV per cell